{
  "formula": "Nb2FeMo",
  "functional": "GGA-PBE",
  "state": "optimized geometry",
  "space_group": "No. 216",
  "final_energy_ev_per_atom": -9.7524,
  "total_magnetization_mub_per_cell": 1.0,
  "cell": [[0.000, 3.156, 3.156], [3.156, 0.000, 3.156], [3.156, 3.156, 0.000]],
  "species": ["Nb", "Nb", "Fe", "Mo"],
  "fractional_positions": [[0.000, 0.000, 0.000], [0.250, 0.250, 0.250], [0.750, 0.750, 0.750], [0.500, 0.500, 0.500]]
}